# Co2POs, relaxed, DFT PBE-GGA
# DOS at the Fermi energy	3.17	states/eV/f.u.
# total magnetic moment	3.2	μB per formula unit
# V	48	Å³ per cell
# crystal system	tetragonal
# formation enthalpy at 0 K	0.04	eV per atom
data_Co2POs
_chemical_formula_sum 'Co2 P1 Os1'
_cell_length_a 2.840
_cell_length_b 2.840
_cell_length_c 5.924
_cell_angle_alpha 90.00
_cell_angle_beta 90.00
_cell_angle_gamma 90.00
_space_group_name_H-M_alt 'P 4 m m'
_space_group_IT_number 99
loop_
_space_group_symop_operation_xyz
'x,y,z'
'-y,x,z'
'-x,-y,z'
'y,-x,z'
'-x,y,z'
'y,x,z'
'x,-y,z'
'-y,-x,z'
loop_
_atom_site_label
_atom_site_type_symbol
_atom_site_fract_x
_atom_site_fract_y
_atom_site_fract_z
Co1 Co 0.000 0.000 0.000
Co2 Co 0.500 0.500 0.256
P1 P 0.500 0.500 0.781
Os1 Os 0.000 0.000 0.543

---

# Pa2CoP4Os3, relaxed, DFT PBE-GGA
# DOS at the Fermi energy	6.40	states/eV/f.u.
# total magnetic moment	0.4	μB per formula unit
# V	159	Å³ per cell
# crystal system	tetragonal
# formation enthalpy at 0 K	-0.77	eV per atom
data_Pa2CoP4Os3
_chemical_formula_sum 'Pa2 Co1 P4 Os3'
_cell_length_a 4.123
_cell_length_b 4.123
_cell_length_c 9.341
_cell_angle_alpha 90.00
_cell_angle_beta 90.00
_cell_angle_gamma 90.00
_space_group_name_H-M_alt 'P -4 m 2'
_space_group_IT_number 115
loop_
_space_group_symop_operation_xyz
'x,y,z'
'y,-x,-z'
'-x,-y,z'
'-y,x,-z'
'-x,y,z'
'-y,-x,-z'
'x,-y,z'
'y,x,-z'
loop_
_atom_site_label
_atom_site_type_symbol
_atom_site_fract_x
_atom_site_fract_y
_atom_site_fract_z
Pa1 Pa 0.000 0.500 0.248
Co1 Co 0.000 0.000 0.500
P1 P 0.000 0.000 0.000
P2 P 0.000 0.500 0.630
P3 P 0.500 0.500 0.000
Os1 Os 0.000 0.500 0.880
Os2 Os 0.500 0.500 0.500

---

# PrCoP2Os, relaxed, DFT PBE-GGA
# DOS at the Fermi energy	1.94	states/eV/f.u.
# total magnetic moment	0.0	μB per formula unit
# V	169	Å³ per cell
# crystal system	tetragonal
# formation enthalpy at 0 K	-0.85	eV per atom
data_PrCoP2Os
_chemical_formula_sum 'Pr2 Co2 P4 Os2'
_cell_length_a 3.865
_cell_length_b 3.865
_cell_length_c 11.285
_cell_angle_alpha 90.00
_cell_angle_beta 90.00
_cell_angle_gamma 90.00
_space_group_name_H-M_alt 'I -4 m 2'
_space_group_IT_number 119
_space_group_name_Hall 'I -4 -2'
loop_
_atom_site_label
_atom_site_type_symbol
_atom_site_fract_x
_atom_site_fract_y
_atom_site_fract_z
Pr1 Pr 0.000 0.000 0.000
Co1 Co 0.000 0.500 0.250
P1 P 0.000 0.000 0.359
Os1 Os 0.000 0.500 0.750

---

# CoPOsPt2, relaxed, DFT PBE-GGA
# DOS at the Fermi energy	6.18	states/eV/f.u.
# total magnetic moment	2.0	μB per formula unit
# V	84	Å³ per cell
# crystal system	tetragonal
# formation enthalpy at 0 K	1.23	eV per atom
data_CoPOsPt2
_chemical_formula_sum 'Co1 P1 Os1 Pt2'
_cell_length_a 4.626
_cell_length_b 4.626
_cell_length_c 3.915
_cell_angle_alpha 90.00
_cell_angle_beta 90.00
_cell_angle_gamma 90.00
_space_group_name_H-M_alt 'P 4/m m m'
_space_group_IT_number 123
_space_group_name_Hall '-P 4 2'
loop_
_atom_site_label
_atom_site_type_symbol
_atom_site_fract_x
_atom_site_fract_y
_atom_site_fract_z
Co1 Co 0.000 0.000 0.000
P1 P 0.000 0.000 0.500
Os1 Os 0.500 0.500 0.500
Pt1 Pt 0.000 0.500 0.000

---

# RbCoPOs2, relaxed, DFT PBE-GGA
# DOS at the Fermi energy	11.97	states/eV/f.u.
# total magnetic moment	0.0	μB per formula unit
# V	92	Å³ per cell
# crystal system	tetragonal
# formation enthalpy at 0 K	1.20	eV per atom
data_RbCoPOs2
_chemical_formula_sum 'Rb1 Co1 P1 Os2'
_cell_length_a 4.527
_cell_length_b 4.527
_cell_length_c 4.471
_cell_angle_alpha 90.00
_cell_angle_beta 90.00
_cell_angle_gamma 90.00
_space_group_name_H-M_alt 'P 4/m m m'
_space_group_IT_number 123
_space_group_name_Hall '-P 4 2'
loop_
_atom_site_label
_atom_site_type_symbol
_atom_site_fract_x
_atom_site_fract_y
_atom_site_fract_z
Rb1 Rb 0.000 0.000 0.000
Co1 Co 0.500 0.500 0.000
P1 P 0.500 0.500 0.500
Os1 Os 0.000 0.500 0.500

---

# CoPOsS, relaxed, DFT PBE-GGA
# formation energy (no corrections)	-0.0836	eV/atom
# DOS at the Fermi energy	2.80	states/eV/f.u.
# total magnetic moment	0.0	μB per formula unit
# V	59	Å³ per cell
# crystal system	triclinic
# distance to the lowest polymorph of the same formula	126	meV/atom
data_CoPOsS
_chemical_formula_sum 'Co1 P1 Os1 S1'
_cell_length_a 3.704
_cell_length_b 3.893
_cell_length_c 4.544
_cell_angle_alpha 89.68
_cell_angle_beta 79.53
_cell_angle_gamma 67.47
_space_group_name_H-M_alt 'P 1'
_space_group_IT_number 1
loop_
_space_group_symop_operation_xyz
'x,y,z'
loop_
_atom_site_label
_atom_site_type_symbol
_atom_site_fract_x
_atom_site_fract_y
_atom_site_fract_z
Co1 Co 0.000 0.000 0.000
P1 P 0.007 0.192 0.476
Os1 Os 0.639 0.844 0.547
S1 S 0.643 0.648 0.037

---

# CoPOsS, relaxed, DFT PBE-GGA
# formation energy (no corrections)	-0.1312	eV/atom
# DOS at the Fermi energy	2.94	states/eV/f.u.
# total magnetic moment	0.0	μB per formula unit
# V	117	Å³ per cell
# crystal system	monoclinic
# distance to the lowest polymorph of the same formula	79	meV/atom
data_CoPOsS
_chemical_formula_sum 'Co2 P2 Os2 S2'
_cell_length_a 6.320
_cell_length_b 3.081
_cell_length_c 6.331
_cell_angle_alpha 90.00
_cell_angle_beta 107.65
_cell_angle_gamma 90.00
_space_group_name_H-M_alt 'C 1 m 1'
_space_group_IT_number 8
loop_
_space_group_symop_operation_xyz
'x,y,z'
'x,-y,z'
'x+1/2,y+1/2,z'
'x+1/2,-y+1/2,z'
loop_
_atom_site_label
_atom_site_type_symbol
_atom_site_fract_x
_atom_site_fract_y
_atom_site_fract_z
Co1 Co 0.000 0.000 0.000
P1 P 0.140 0.500 0.846
Os1 Os 0.362 0.500 0.576
S1 S 0.107 0.000 0.359

---

# CoPOsS, relaxed, DFT PBE-GGA
# formation energy (no corrections)	-0.0617	eV/atom
# DOS at the Fermi energy	2.18	states/eV/f.u.
# total magnetic moment	0.0	μB per formula unit
# V	56	Å³ per cell
# crystal system	triclinic
# distance to the lowest polymorph of the same formula	148	meV/atom
data_CoPOsS
_chemical_formula_sum 'Co1 P1 Os1 S1'
_cell_length_a 2.951
_cell_length_b 3.708
_cell_length_c 5.798
_cell_angle_alpha 75.85
_cell_angle_beta 75.41
_cell_angle_gamma 66.65
_space_group_name_H-M_alt 'P 1'
_space_group_IT_number 1
loop_
_space_group_symop_operation_xyz
'x,y,z'
loop_
_atom_site_label
_atom_site_type_symbol
_atom_site_fract_x
_atom_site_fract_y
_atom_site_fract_z
Co1 Co 0.000 0.000 0.000
P1 P 0.764 0.668 0.801
Os1 Os 0.556 0.299 0.585
S1 S 0.173 0.395 0.251

---

# CoPOsS, relaxed, DFT PBE-GGA
# formation energy (no corrections)	-0.1344	eV/atom
# DOS at the Fermi energy	1.40	states/eV/f.u.
# total magnetic moment	0.0	μB per formula unit
# V	116	Å³ per cell
# crystal system	monoclinic
# distance to the lowest polymorph of the same formula	76	meV/atom
data_CoPOsS
_chemical_formula_sum 'Co2 P2 Os2 S2'
_cell_length_a 7.081
_cell_length_b 3.056
_cell_length_c 6.066
_cell_angle_alpha 90.00
_cell_angle_beta 117.91
_cell_angle_gamma 90.00
_space_group_name_H-M_alt 'C 1 m 1'
_space_group_IT_number 8
loop_
_space_group_symop_operation_xyz
'x,y,z'
'x,-y,z'
'x+1/2,y+1/2,z'
'x+1/2,-y+1/2,z'
loop_
_atom_site_label
_atom_site_type_symbol
_atom_site_fract_x
_atom_site_fract_y
_atom_site_fract_z
Co1 Co 0.000 0.000 0.000
P1 P 0.221 0.500 0.044
Os1 Os 0.437 0.000 0.358
S1 S 0.333 0.500 0.586

---

# CoPOsS, relaxed, DFT PBE-GGA
# formation energy (no corrections)	0.0072	eV/atom
# DOS at the Fermi energy	2.81	states/eV/f.u.
# total magnetic moment	0.0	μB per formula unit
# V	111	Å³ per cell
# crystal system	monoclinic
# distance to the lowest polymorph of the same formula	217	meV/atom
data_CoPOsS
_chemical_formula_sum 'Co2 P2 Os2 S2'
_cell_length_a 6.873
_cell_length_b 2.920
_cell_length_c 5.837
_cell_angle_alpha 90.00
_cell_angle_beta 108.90
_cell_angle_gamma 90.00
_space_group_name_H-M_alt 'C 1 m 1'
_space_group_IT_number 8
loop_
_space_group_symop_operation_xyz
'x,y,z'
'x,-y,z'
'x+1/2,y+1/2,z'
'x+1/2,-y+1/2,z'
loop_
_atom_site_label
_atom_site_type_symbol
_atom_site_fract_x
_atom_site_fract_y
_atom_site_fract_z
Co1 Co 0.000 0.000 0.000
P1 P 0.166 0.500 0.815
Os1 Os 0.310 0.000 0.588
S1 S 0.037 0.500 0.304

---

# CoPOsS, relaxed, DFT PBE-GGA
# formation energy (no corrections)	-0.2100	eV/atom
# DOS at the Fermi energy	1.60	states/eV/f.u.
# total magnetic moment	0.0	μB per formula unit
# V	111	Å³ per cell
# crystal system	monoclinic
# distance to the lowest polymorph of the same formula	0	meV/atom
data_CoPOsS
_chemical_formula_sum 'Co2 P2 Os2 S2'
_cell_length_a 7.184
_cell_length_b 2.990
_cell_length_c 5.179
_cell_angle_alpha 90.00
_cell_angle_beta 90.20
_cell_angle_gamma 90.00
_space_group_name_H-M_alt 'C 1 m 1'
_space_group_IT_number 8
loop_
_space_group_symop_operation_xyz
'x,y,z'
'x,-y,z'
'x+1/2,y+1/2,z'
'x+1/2,-y+1/2,z'
loop_
_atom_site_label
_atom_site_type_symbol
_atom_site_fract_x
_atom_site_fract_y
_atom_site_fract_z
Co1 Co 0.000 0.000 0.000
P1 P 0.410 0.000 0.716
Os1 Os 0.130 0.000 0.507
S1 S 0.221 0.500 0.179

---

# CoPOsS, relaxed, DFT PBE-GGA
# formation energy (no corrections)	-0.1417	eV/atom
# DOS at the Fermi energy	2.47	states/eV/f.u.
# total magnetic moment	0.0	μB per formula unit
# V	59	Å³ per cell
# crystal system	trigonal
# distance to the lowest polymorph of the same formula	68	meV/atom
data_CoPOsS
_chemical_formula_sum 'Co1 P1 Os1 S1'
_cell_length_a 3.6340
_cell_length_b 3.6340
_cell_length_c 5.1476
_cell_angle_alpha 90.00
_cell_angle_beta 90.00
_cell_angle_gamma 120.00
_space_group_name_H-M_alt 'P 3 m 1'
_space_group_IT_number 156
loop_
_space_group_symop_operation_xyz
'x,y,z'
'-y,x-y,z'
'-x+y,-x,z'
'-y,-x,z'
'-x+y,y,z'
'x,x-y,z'
loop_
_atom_site_label
_atom_site_type_symbol
_atom_site_fract_x
_atom_site_fract_y
_atom_site_fract_z
Co1 Co 0.0000 0.0000 0.0000
P1 P 0.3333 0.6667 0.0910
Os1 Os 0.6667 0.3333 0.3397
S1 S 0.0000 0.0000 0.5871

---

# CoPOsS, relaxed, DFT PBE-GGA
# formation energy (no corrections)	-0.1552	eV/atom
# DOS at the Fermi energy	2.32	states/eV/f.u.
# total magnetic moment	0.0	μB per formula unit
# V	177	Å³ per cell
# crystal system	trigonal
# distance to the lowest polymorph of the same formula	55	meV/atom
data_CoPOsS
_chemical_formula_sum 'Co3 P3 Os3 S3'
_cell_length_a 3.5543
_cell_length_b 3.5543
_cell_length_c 16.1730
_cell_angle_alpha 90.00
_cell_angle_beta 90.00
_cell_angle_gamma 120.00
_space_group_name_H-M_alt 'R 3 m'
_space_group_IT_number 160
_space_group_name_Hall 'R 3 -2"'
loop_
_atom_site_label
_atom_site_type_symbol
_atom_site_fract_x
_atom_site_fract_y
_atom_site_fract_z
Co1 Co 0.0000 0.0000 0.0000
P1 P 0.0000 0.0000 0.2991
Os1 Os 0.0000 0.0000 0.5498
S1 S 0.0000 0.0000 0.1343

---

Final energy for the records above, in order: -7.68 -8.91 -7.63 -5.94 -5.98 -7.05 -7.10 -7.03 -7.10 -6.96 -7.18 -7.11 -7.12 eV/atom